Here is SmHoHg after structural relaxation from the Alexandria database. Energies are from PBE.

- Theoretical density: 10.00 g cm⁻³
- D(E_F): 1.2153 states/eV per atom
- Energy: -10.501 eV per cell
- Magnetization: 0.76 μB per cell
- Relative energy among the computed polymorphs: 0 meV/atom

The structure in extended XYZ format:
```
3
Lattice="-1.356 -3.170 1.192 3.310 -1.512 -0.254 0.284 4.084 5.601" Properties=species:S:1:pos:R:3 pbc="T T T"
Sm 0.024 0.033 0.116
Ho 0.801 1.108 3.856
Hg 1.413 -1.738 2.567
```

***

Here is SiB2C after structural relaxation from the Alexandria database. Energies are from PBE.

- Theoretical density: 2.34 g cm⁻³
- D(E_F): 0.2398 states/eV per atom
- Energy: -24.372 eV per cell
- Magnetization: 0.00 μB per cell
- Relative energy among the computed polymorphs: 646 meV/atom

The structure in extended XYZ format:
```
4
Lattice="-2.149 1.359 -1.729 -2.263 -1.674 -1.237 -4.462 0.714 3.375" Properties=species:S:1:pos:R:3 pbc="T T T"
B -5.204 -0.099 -1.810
C 0.000 0.000 0.000
B -3.670 0.497 2.219
Si -4.437 0.199 0.204
```

***

Here is MgTlTc2Ag after structural relaxation from the Alexandria database. Energies are from PBE.

- Theoretical density: 6.60 g cm⁻³
- D(E_F): 1.1093 states/eV per atom
- Energy: -18.309 eV per cell
- Magnetization: 5.28 μB per cell

The structure in extended XYZ format:
```
5
Lattice="-2.834 3.985 1.586 -2.707 -0.221 -4.281 -3.296 -3.240 2.251" Properties=species:S:1:pos:R:3 pbc="T T T"
Tc -1.648 -1.620 1.126
Ag -4.419 0.262 -0.222
Tc -1.417 1.993 0.793
Mg -1.353 -0.111 -2.141
Tl 0.000 0.000 0.000
```

***

Here is FeAgI3 after structural relaxation from the Alexandria database. Energies are from PBE.

- Theoretical density: 4.73 g cm⁻³
- D(E_F): 1.0932 states/eV per atom
- Energy: -33.019 eV per cell
- Magnetization: 8.00 μB per cell
- Relative energy among the computed polymorphs: 0 meV/atom

The structure in extended XYZ format:
```
10
Lattice="-2.939 -2.828 -1.294 5.161 -4.003 -2.971 1.296 -6.244 10.706" Properties=species:S:1:pos:R:3 pbc="T T T"
I 0.638 -2.159 -0.267
Fe 1.768 -9.076 5.211
I 2.880 -10.916 6.708
Fe 1.750 -3.999 1.231
Ag 5.373 -9.741 5.551
I -0.153 -5.660 2.106
I 3.623 -5.473 0.197
I -0.105 -7.602 6.244
Ag -1.856 -3.334 0.890
I 3.671 -7.415 4.335
```